(1)
TmMgRh2 PBE relaxed; magnetization = 0.00 μB/f.u.; N(E_F) = 1.44 states/eV per cell; calculated volume = 17.2 Å³ per atom
1.0
0.0000 3.2535 3.2535
3.2535 0.0000 3.2535
3.2535 3.2535 0.0000
Tm Mg Rh
1 1 2
Direct
0.0000 0.0000 0.0000
0.5000 0.5000 0.5000
0.2500 0.2500 0.2500
0.7500 0.7500 0.7500



(2)
TmMg2Rh PBE relaxed; magnetization = 0.00 μB/f.u.; N(E_F) = 20.06 states/eV per cell; calculated volume = 21.1 Å³ per atom
1.0
14.9468 0.0000 0.0000
0.0000 8.4618 0.0000
0.0000 0.0000 5.3433
Tm Mg Rh
8 16 8
Direct
0.1055 0.2500 0.2456
0.1367 0.7500 0.0352
0.3633 0.2500 0.5352
0.3945 0.7500 0.7456
0.6055 0.2500 0.2544
0.6367 0.7500 0.4648
0.8633 0.2500 0.9648
0.8945 0.7500 0.7544
0.0406 0.0539 0.7392
0.0406 0.4461 0.7392
0.2126 0.5561 0.5249
0.2126 0.9439 0.5249
0.2874 0.0561 0.0249
0.2874 0.4439 0.0249
0.4594 0.5539 0.2392
0.4594 0.9461 0.2392
0.5406 0.0539 0.7608
0.5406 0.4461 0.7608
0.7126 0.5561 0.9751
0.7126 0.9439 0.9751
0.7874 0.0561 0.4751
0.7874 0.4439 0.4751
0.9594 0.5539 0.2608
0.9594 0.9461 0.2608
0.0664 0.7500 0.5405
0.1883 0.2500 0.7233
0.3117 0.7500 0.2233
0.4336 0.2500 0.0405
0.5664 0.7500 0.9595
0.6883 0.2500 0.7767
0.8117 0.7500 0.2767
0.9336 0.2500 0.4595



(3)
Tm2MgRh PBE relaxed; magnetization = 0.00 μB/f.u.; offset from the most stable computed form = 0.00 kJ/mol of atoms; N(E_F) = 2.37 states/eV per cell; calculated volume = 23.0 Å³ per atom
1.0
3.4822 0.0000 0.0000
0.0000 3.4822 0.0000
0.0000 0.0000 7.5871
Tm Mg Rh
2 1 1
Direct
0.0000 0.0000 0.2103
0.0000 0.0000 0.7897
0.5000 0.5000 0.5000
0.5000 0.5000 0.0000



(4)
Tm3MgRh PBE relaxed; magnetization = 0.00 μB/f.u.; N(E_F) = 7.34 states/eV per cell; calculated volume = 28.2 Å³ per atom
1.0
5.1165 -7.3628 0.0000
5.1165 7.3628 0.0000
0.0000 0.0000 3.7471
Tm Mg Rh
6 2 2
Direct
0.1718 0.4167 0.5000
0.1951 0.8049 0.0000
0.4167 0.1718 0.5000
0.5833 0.8282 0.5000
0.8049 0.1951 0.0000
0.8282 0.5833 0.5000
0.0000 0.0000 0.5000
0.5000 0.5000 0.0000
0.0000 0.5000 0.0000
0.5000 0.0000 0.0000



(5)
Tm4MgRh PBE relaxed; magnetization = 0.00 μB/f.u.; offset from the most stable computed form = 20.82 kJ/mol of atoms; N(E_F) = 6.06 states/eV per cell; calculated volume = 28.8 Å³ per atom
1.0
5.5046 -1.9028 0.0000
5.5046 1.9028 0.0000
-3.1377 0.0000 8.2590
Tm Mg Rh
4 1 1
Direct
0.1184 0.1184 0.3942
0.3366 0.3366 0.1801
0.6634 0.6634 0.8199
0.8816 0.8816 0.6058
0.0000 0.0000 0.0000
0.5000 0.5000 0.5000



(6)
Tm4MgRh5 PBE relaxed; magnetization = 0.00 μB/f.u.; N(E_F) = 3.45 states/eV per cell; calculated volume = 18.4 Å³ per atom
1.0
3.3463 0.0000 0.0000
0.0000 3.3463 0.0000
0.0000 0.0000 16.4627
Tm Mg Rh
4 1 5
Direct
0.0000 0.0000 0.1034
0.0000 0.0000 0.3103
0.0000 0.0000 0.6897
0.0000 0.0000 0.8966
0.0000 0.0000 0.5000
0.5000 0.5000 0.0000
0.5000 0.5000 0.2047
0.5000 0.5000 0.4081
0.5000 0.5000 0.5919
0.5000 0.5000 0.7953



(7)
Tm4MgRh PBE relaxed; magnetization = 0.00 μB/f.u.; offset from the most stable computed form = 0.00 kJ/mol of atoms; N(E_F) = 22.06 states/eV per cell; calculated volume = 25.8 Å³ per atom
1.0
0.0000 6.7693 6.7693
6.7693 0.0000 6.7693
6.7693 6.7693 0.0000
Tm Mg Rh
16 4 4
Direct
0.0622 0.0622 0.4378
0.0622 0.4378 0.0622
0.0622 0.4378 0.4378
0.1852 0.1852 0.8148
0.1852 0.8148 0.1852
0.1852 0.8148 0.8148
0.2094 0.5969 0.5969
0.4378 0.0622 0.0622
0.4378 0.0622 0.4378
0.4378 0.4378 0.0622
0.5969 0.2094 0.5969
0.5969 0.5969 0.2094
0.5969 0.5969 0.5969
0.8148 0.1852 0.1852
0.8148 0.1852 0.8148
0.8148 0.8148 0.1852
0.5108 0.8297 0.8297
0.8297 0.5108 0.8297
0.8297 0.8297 0.5108
0.8297 0.8297 0.8297
0.3916 0.3916 0.3916
0.3916 0.3916 0.8253
0.3916 0.8253 0.3916
0.8253 0.3916 0.3916



(8)
Tm8MgRh2 PBE relaxed; magnetization = 0.00 μB/f.u.; N(E_F) = 12.69 states/eV per cell; calculated volume = 27.1 Å³ per atom
1.0
4.2935 -6.5636 0.0000
4.2935 6.5636 0.0000
-1.2279 0.0000 5.2848
Tm Mg Rh
8 1 2
Direct
0.1112 0.1112 0.8011
0.1703 0.4296 0.4218
0.2480 0.7520 0.0000
0.4296 0.1703 0.4218
0.5704 0.8297 0.5782
0.7520 0.2480 0.0000
0.8297 0.5704 0.5782
0.8888 0.8888 0.1989
0.5000 0.5000 0.0000
0.1920 0.8080 0.5000
0.8080 0.1920 0.5000



Respective final energy values: -0.220, -0.156, -0.184, -0.176, -0.172, -0.239, -0.180, -0.186 hartree per atom.
Respective energy of formation from the pure elements values: -0.782, -0.487, -0.535, -0.306, -0.204, -0.889, -0.420, -0.317 eV per atom.